Record 1
The following is a PBE calculation of a geometry-optimized Pm2AlGe3Rh4 structure, from Alexandria via LeMat-Bulk.

a b c (Å): 4.2250 4.2250 10.2473
angles (deg): 90.00 90.00 90.00
Positions (direct):
Pm 0.0000 0.5000 0.2503
Pm 0.5000 0.0000 0.7497
Al 0.0000 0.0000 0.5000
Ge 0.0000 0.5000 0.8699
Ge 0.5000 0.0000 0.1301
Ge 0.5000 0.5000 0.5000
Rh 0.0000 0.0000 0.0000
Rh 0.0000 0.5000 0.6307
Rh 0.5000 0.0000 0.3693
Rh 0.5000 0.5000 0.0000

## Properties
**Symmetry**: P-4m2, No. 115
**ΔE_f**: -870 kJ/mol of formula units

=====

Record 2
The following is a PBE calculation of a geometry-optimized PmBePt3 structure, from Alexandria via LeMat-Bulk.

a b c (Å): 4.4191 4.4191 4.4191
angles (deg): 90.00 90.00 90.00
Positions (direct):
Pm 0.0000 0.0000 0.0000
Be 0.5000 0.5000 0.5000
Pt 0.0000 0.5000 0.5000
Pt 0.5000 0.0000 0.5000
Pt 0.5000 0.5000 0.0000

## Properties
**Symmetry**: Pm-3m, No. 221
**Energy above the most stable polymorph in this dataset**: 117 meV/atom
**ΔE_f**: -388 kJ/mol of formula units

=====

Record 3
The following is a PBE calculation of a geometry-optimized NpZnIrAu structure, from Alexandria via LeMat-Bulk.

a b c (Å): 4.7381 4.7381 4.7381
angles (deg): 60.00 60.00 60.00
Positions (direct):
Np 0.0000 0.0000 0.0000
Zn 0.5000 0.5000 0.5000
Ir 0.2500 0.2500 0.2500
Au 0.7500 0.7500 0.7500

## Properties
**Symmetry**: F-43m, No. 216
**ΔE_f**: -34 kJ/mol of formula units

=====

Record 4
The following is a PBE calculation of a geometry-optimized Na3AuI4 structure, from Alexandria via LeMat-Bulk.

a b c (Å): 10.0232 8.5654 7.9623
angles (deg): 90.00 90.00 90.00
Positions (direct):
Na 0.0000 0.1397 0.0000
Na 0.2463 0.3280 0.4987
Na 0.2537 0.6720 0.9987
Na 0.5000 0.8603 0.5000
Na 0.7463 0.6720 0.9987
Na 0.7537 0.3280 0.4987
Au 0.0000 0.8149 0.5209
Au 0.5000 0.1851 0.0209
I 0.0000 0.1396 0.6118
I 0.0000 0.8109 0.1512
I 0.2430 0.6774 0.6080
I 0.2570 0.3226 0.1080
I 0.5000 0.1891 0.6512
I 0.5000 0.8604 0.1118
I 0.7430 0.3226 0.1080
I 0.7570 0.6774 0.6080

## Properties
**Symmetry**: Pmn2_1, No. 31
**Energy above the most stable polymorph in this dataset**: 0 meV/atom
**Formation energy (no corrections)**: -881 meV/atom

=====

Record 5
The following is a PBE calculation of a geometry-optimized CaPrGaSi structure, from Alexandria via LeMat-Bulk.

a b c (Å): 4.0755 5.9851 5.9851
angles (deg): 44.20 90.00 90.00
Positions (direct):
Ca 0.0000 0.0000 0.0000
Pr 0.5000 0.2795 0.2795
Ga 0.5000 0.5694 0.5694
Si 0.0000 0.7117 0.7117

## Properties
**Symmetry**: Amm2, No. 38
**Energy above the most stable polymorph in this dataset**: 0 meV/atom
**Formation energy (no corrections)**: -608 meV/atom

=====

Record 6
The following is a PBE calculation of a geometry-optimized CsH2IrN structure, from Alexandria via LeMat-Bulk.

a b c (Å): 4.3202 4.3202 3.7644
angles (deg): 90.00 90.00 90.00
Positions (direct):
Cs 0.0000 0.0000 0.0000
H 0.0000 0.5000 0.5000
H 0.5000 0.0000 0.5000
Ir 0.5000 0.5000 0.5000
N 0.5000 0.5000 0.0000

## Properties
**Symmetry**: P4/mmm, No. 123

=====

Record 7
The following is a PBE calculation of a geometry-optimized Sm2HoPt structure, from Alexandria via LeMat-Bulk.

a b c (Å): 3.6444 3.6444 8.4528
angles (deg): 90.00 90.00 90.00
Positions (direct):
Sm 0.0000 0.0000 0.1985
Sm 0.0000 0.0000 0.8015
Ho 0.5000 0.5000 0.5000
Pt 0.5000 0.5000 0.0000

## Properties
**Symmetry**: P4/mmm, No. 123
**Energy above the most stable polymorph in this dataset**: 166 meV/atom
**ΔE_f**: -196 kJ/mol of formula units

=====

Record 8
The following is a PBE calculation of a geometry-optimized Li2CrSb structure, from Alexandria via LeMat-Bulk.

a b c (Å): 5.0069 5.0069 5.0069
angles (deg): 129.85 129.85 73.64
Positions (direct):
Li 0.2500 0.7500 0.5000
Li 0.7500 0.2500 0.5000
Cr 0.0000 0.0000 0.0000
Sb 0.5000 0.5000 0.0000

## Properties
**Symmetry**: I4/mmm, No. 139
**Formation energy (no corrections)**: -92 meV/atom

=====

| no. | VASP energy (eV for the cell shown) |
| --- | --- |
| 1 | -65.52 |
| 2 | -30.62 |
| 3 | -26.70 |
| 4 | -40.97 |
| 5 | -17.66 |
| 6 | -23.70 |
| 7 | -22.09 |
| 8 | -17.94 |